First-principles (PBE) data for a geometry-optimized ZrAg2PRu structure, as listed in Alexandria via LeMat-Bulk.

The space group is P4/mmm (No. 123) and the conventional cell measures 4.653, 4.653 and 4.446 Å, with angles of 90.00, 90.00 and 90.00 degrees. The inequivalent atoms are Zr at (0.000, 0.000, 0.000), Ag at (0.000, 0.500, 0.500), P at (0.500, 0.500, 0.500) and Ru at (0.500, 0.500, 0.000).

The calculation puts the calculated volume at 19.25 A^3/atom. The calculation puts the size of the total moment at 0.03 μB/cell. The total energy comes out at -5.39 eV per atom. The value obtained for the density is 7.6 g/cm³.